Record 1
{"formula": "Ba2SmAs2I2", "functional": "GGA-PBE", "state": "optimized geometry", "total_magnetization_mub_per_atom": 0.00, "n_ef_per_ev_fu": 3.29, "formation_energy_uncorrected_ev_per_atom": -1.330, "cell": [[-3.083, -0.822, 4.580], [4.645, -0.228, 3.086], [-1.210, 9.375, -2.533]], "species": ["I", "I", "Ba", "Ba", "As", "As", "Sm"], "frac_coords": [[0.817, 0.817, 0.633], [0.183, 0.183, 0.367], [0.383, 0.383, 0.767], [0.617, 0.617, 0.233], [0.000, 0.500, 0.000], [0.500, 0.000, 0.000], [0.000, 0.000, 0.000]]}

Record 2
{"formula": "BaSn2AsI", "functional": "GGA-PBE", "state": "optimized geometry", "total_magnetization_mub_per_atom": 0.00, "n_ef_per_ev_fu": 6.35, "formation_energy_uncorrected_ev_per_atom": 0.298, "cell": [[-5.563, -0.908, 1.736], [0.288, -5.250, -1.825], [1.935, -1.734, 5.295]], "species": ["Ba", "Sn", "Sn", "As", "I"], "frac_coords": [[0.500, 0.500, 0.500], [0.000, 0.000, 0.500], [0.500, 0.000, 0.000], [0.000, 0.500, 0.000], [0.000, 0.000, 0.000]]}

Record 3
{"formula": "Ba8Sn3AsI4", "functional": "GGA-PBE", "state": "optimized geometry", "total_magnetization_mub_per_atom": 0.00, "n_ef_per_ev_fu": 12.21, "formation_energy_uncorrected_ev_per_atom": -1.094, "cell": [[-6.070, 7.421, -2.325], [0.112, -3.049, -10.026], [-2.664, -6.600, 6.818]], "species": ["Ba", "Ba", "Ba", "Ba", "Ba", "Ba", "Ba", "Ba", "Sn", "Sn", "Sn", "I", "I", "I", "I", "As"], "frac_coords": [[0.745, 0.735, 0.490], [0.755, 0.716, 0.985], [0.769, 0.284, 0.538], [0.245, 0.284, 0.015], [0.231, 0.716, 0.985], [0.255, 0.265, 0.510], [0.231, 0.716, 0.462], [0.769, 0.284, 0.015], [0.500, 0.500, 0.500], [0.500, 0.500, 0.000], [0.000, 0.500, 0.500], [0.000, 0.000, 0.500], [0.500, 0.000, 0.000], [0.500, 0.000, 0.500], [0.000, 0.000, 0.000], [0.000, 0.500, 0.000]]}

Record 4
{"formula": "BaTeAsI2", "functional": "GGA-PBE", "state": "optimized geometry", "total_magnetization_mub_per_atom": 0.00, "n_ef_per_ev_fu": 0.41, "formation_energy_uncorrected_ev_per_atom": -0.705, "polymorph_energy_mev_per_atom": 0, "cell": [[-3.949, -3.937, 0.959], [-0.240, -1.109, -5.543], [4.210, -4.070, 0.632]], "species": ["I", "I", "Ba", "Te", "As"], "frac_coords": [[0.500, 0.000, 0.000], [0.000, 0.500, 0.000], [0.500, 0.500, 0.500], [0.000, 0.000, 0.500], [0.000, 0.000, 0.000]]}

Record 5
{"formula": "Ba8TeAs3I4", "functional": "GGA-PBE", "state": "optimized geometry", "total_magnetization_mub_per_atom": 0.00, "n_ef_per_ev_fu": 4.28, "formation_energy_uncorrected_ev_per_atom": -1.506, "cell": [[9.797, 0.000, 0.000], [0.000, 10.055, 0.177], [-4.899, -4.896, 6.929]], "species": ["Te", "As", "As", "As", "Ba", "Ba", "Ba", "Ba", "Ba", "Ba", "Ba", "Ba", "I", "I", "I", "I"], "frac_coords": [[0.000, 0.500, 0.000], [0.000, 0.500, 0.500], [0.500, 0.500, 0.000], [0.500, 0.500, 0.500], [0.244, 0.711, 0.967], [0.278, 0.289, 0.033], [0.244, 0.711, 0.489], [0.756, 0.289, 0.033], [0.264, 0.293, 0.528], [0.736, 0.707, 0.472], [0.756, 0.289, 0.511], [0.722, 0.711, 0.967], [0.500, 0.000, 0.500], [0.500, 0.000, 0.000], [0.000, 0.000, 0.500], [0.000, 0.000, 0.000]]}

Record 6
{"formula": "Ba8Te3AsI4", "functional": "GGA-PBE", "state": "optimized geometry", "total_magnetization_mub_per_atom": 0.00, "n_ef_per_ev_fu": 5.54, "formation_energy_uncorrected_ev_per_atom": -1.562, "cell": [[9.934, 0.000, 0.000], [0.000, 9.994, 0.034], [-4.967, -4.963, 7.028]], "species": ["I", "I", "I", "I", "Ba", "Ba", "Ba", "Ba", "Ba", "Ba", "Ba", "Ba", "Te", "Te", "Te", "As"], "frac_coords": [[0.500, 0.000, 0.500], [0.500, 0.000, 0.000], [0.000, 0.000, 0.000], [0.000, 0.000, 0.500], [0.232, 0.721, 0.464], [0.244, 0.279, 0.011], [0.744, 0.731, 0.487], [0.768, 0.279, 0.011], [0.232, 0.721, 0.989], [0.768, 0.279, 0.536], [0.256, 0.269, 0.513], [0.756, 0.721, 0.989], [0.500, 0.500, 0.000], [0.000, 0.500, 0.500], [0.500, 0.500, 0.500], [0.000, 0.500, 0.000]]}

Record 7
{"formula": "Ba4Te2AsI", "functional": "GGA-PBE", "state": "optimized geometry", "total_magnetization_mub_per_atom": 0.00, "formation_energy_uncorrected_ev_per_atom": -1.583, "cell": [[4.960, 0.000, 0.000], [0.000, 8.541, -0.200], [0.000, 2.978, 8.121]], "species": ["Te", "Te", "Ba", "Ba", "Ba", "Ba", "As", "I"], "frac_coords": [[0.000, 0.000, 0.000], [0.500, 0.000, 0.500], [0.000, 0.750, 0.725], [0.500, 0.738, 0.271], [0.000, 0.250, 0.275], [0.500, 0.262, 0.729], [0.000, 0.500, 0.500], [0.500, 0.500, 0.000]]}

Record 8
{"formula": "Ba6Te3As2I", "functional": "GGA-PBE", "state": "optimized geometry", "total_magnetization_mub_per_atom": 0.08, "n_ef_per_ev_fu": 13.15, "formation_energy_uncorrected_ev_per_atom": -1.478, "cell": [[-3.998, -2.120, 1.803], [5.610, -4.809, 6.785], [-0.603, 10.238, 4.117]], "species": ["Te", "Te", "Te", "Ba", "Ba", "Ba", "Ba", "Ba", "Ba", "I", "As", "As"], "frac_coords": [[0.500, 0.500, 0.000], [0.840, 0.164, 0.681], [0.160, 0.836, 0.319], [0.672, 0.577, 0.344], [0.675, 0.101, 0.349], [0.325, 0.899, 0.651], [0.008, 0.268, 0.017], [0.992, 0.732, 0.983], [0.328, 0.423, 0.656], [0.500, 0.000, 0.000], [0.165, 0.331, 0.331], [0.835, 0.669, 0.669]]}

Record 9
{"formula": "BaTe2AsI", "functional": "GGA-PBE", "state": "optimized geometry", "total_magnetization_mub_per_atom": 0.00, "n_ef_per_ev_fu": 14.08, "formation_energy_uncorrected_ev_per_atom": 0.535, "polymorph_energy_mev_per_atom": 1150, "cell": [[-5.211, -0.650, 4.027], [3.696, -3.518, 4.215], [1.667, 5.375, 3.025]], "species": ["Te", "Te", "Ba", "I", "As"], "frac_coords": [[0.500, 0.000, 0.000], [0.000, 0.500, 0.000], [0.000, 0.000, 0.000], [0.000, 0.000, 0.500], [0.500, 0.500, 0.500]]}

Record 10
{"formula": "BaTe2AsI", "functional": "GGA-PBE", "state": "optimized geometry", "total_magnetization_mub_per_atom": 0.00, "n_ef_per_ev_fu": 3.31, "formation_energy_uncorrected_ev_per_atom": -0.616, "polymorph_energy_mev_per_atom": 0, "cell": [[-2.550, -0.258, 5.031], [-3.497, -3.967, -1.977], [3.654, -4.041, 1.645]], "species": ["I", "As", "Te", "Te", "Ba"], "frac_coords": [[0.000, 0.000, 0.500], [0.000, 0.000, 0.000], [0.500, 0.000, 0.000], [0.000, 0.500, 0.000], [0.500, 0.500, 0.500]]}

Record 11
{"formula": "BaTeAsI2", "functional": "GGA-PBE", "state": "optimized geometry", "total_magnetization_mub_per_atom": 0.21, "n_ef_per_ev_fu": 3.96, "formation_energy_uncorrected_ev_per_atom": -0.003, "polymorph_energy_mev_per_atom": 701, "cell": [[6.663, 0.000, 0.000], [0.000, 6.663, 0.000], [0.000, 0.000, 7.178]], "species": ["Ba", "I", "I", "Te", "As"], "frac_coords": [[0.000, 0.000, 0.000], [0.000, 0.500, 0.000], [0.500, 0.000, 0.000], [0.000, 0.000, 0.500], [0.500, 0.500, 0.500]]}

Record 12
{"formula": "Ba6TeAs2I2", "functional": "GGA-PBE", "state": "optimized geometry", "total_magnetization_mub_per_atom": 0.07, "n_ef_per_ev_fu": 5.23, "formation_energy_uncorrected_ev_per_atom": -1.355, "cell": [[-2.902, -6.061, -5.213], [3.711, -2.144, 7.346], [-7.495, 2.870, 3.051]], "species": ["Ba", "Ba", "Ba", "Ba", "Ba", "Ba", "Te", "As", "As", "I", "I"], "frac_coords": [[0.421, 0.073, 0.717], [0.287, 0.287, 0.281], [0.927, 0.579, 0.283], [0.713, 0.713, 0.719], [0.579, 0.927, 0.283], [0.073, 0.421, 0.717], [0.000, 0.000, 0.500], [0.332, 0.668, 0.500], [0.668, 0.332, 0.500], [0.161, 0.839, 0.000], [0.839, 0.161, 0.000]]}

Record 13
{"formula": "Ba6TlAs2I3", "functional": "GGA-PBE", "state": "optimized geometry", "total_magnetization_mub_per_atom": 0.10, "n_ef_per_ev_fu": 4.25, "formation_energy_uncorrected_ev_per_atom": -1.230, "cell": [[4.835, 0.000, 0.000], [0.000, 10.406, 0.253], [-2.417, -3.126, 10.624]], "species": ["Ba", "Ba", "Ba", "Ba", "Ba", "Ba", "Tl", "I", "I", "I", "As", "As"], "frac_coords": [[0.664, 0.121, 0.328], [0.678, 0.558, 0.356], [0.985, 0.751, 0.969], [0.322, 0.442, 0.644], [0.015, 0.249, 0.031], [0.336, 0.879, 0.672], [0.500, 0.000, 0.000], [0.834, 0.169, 0.668], [0.500, 0.500, 0.000], [0.166, 0.831, 0.332], [0.169, 0.339, 0.337], [0.831, 0.661, 0.663]]}

Record 14
{"formula": "Ba2VAsI", "functional": "GGA-PBE", "state": "optimized geometry", "total_magnetization_mub_per_atom": 0.75, "n_ef_per_ev_fu": 6.15, "formation_energy_uncorrected_ev_per_atom": 0.147, "cell": [[6.334, 0.000, 0.000], [0.000, 5.005, 0.000], [0.000, 0.000, 6.334]], "species": ["As", "V", "Ba", "Ba", "I"], "frac_coords": [[0.500, 0.500, 0.500], [0.000, 0.000, 0.000], [0.500, 0.000, 0.000], [0.000, 0.000, 0.500], [0.000, 0.500, 0.000]]}

Record 15
{"formula": "Ba2YAs2I2", "functional": "GGA-PBE", "state": "optimized geometry", "total_magnetization_mub_per_atom": 0.00, "n_ef_per_ev_fu": 2.07, "formation_energy_uncorrected_ev_per_atom": -1.362, "cell": [[5.475, 0.000, 0.000], [0.000, 5.475, 0.000], [-2.738, -2.738, 9.019]], "species": ["As", "As", "Y", "Ba", "Ba", "I", "I"], "frac_coords": [[0.000, 0.500, 0.000], [0.500, 0.000, 0.000], [0.000, 0.000, 0.000], [0.618, 0.618, 0.236], [0.382, 0.382, 0.764], [0.182, 0.182, 0.364], [0.818, 0.818, 0.636]]}

Record 16
{"formula": "Ba8ZnAs3I4", "functional": "GGA-PBE", "state": "optimized geometry", "total_magnetization_mub_per_atom": 0.19, "n_ef_per_ev_fu": 3.03, "formation_energy_uncorrected_ev_per_atom": -1.261, "cell": [[-7.870, 5.743, -0.857], [-5.920, -8.193, -0.539], [5.980, 1.012, 7.672]], "species": ["Ba", "Ba", "Ba", "Ba", "Ba", "Ba", "Ba", "Ba", "Zn", "I", "I", "I", "I", "As", "As", "As"], "frac_coords": [[0.728, 0.707, 0.968], [0.761, 0.293, 0.521], [0.761, 0.293, 0.032], [0.272, 0.293, 0.032], [0.239, 0.707, 0.968], [0.239, 0.707, 0.479], [0.265, 0.296, 0.531], [0.735, 0.704, 0.469], [0.000, 0.500, 0.000], [0.500, 0.000, 0.500], [0.500, 0.000, 0.000], [0.000, 0.000, 0.000], [0.000, 0.000, 0.500], [0.500, 0.500, 0.500], [0.000, 0.500, 0.500], [0.500, 0.500, 0.000]]}

Record 17
{"formula": "Ba2InAs", "functional": "GGA-PBE", "state": "optimized geometry", "e_form_ev_per_atom": -0.562, "total_magnetization_mub_per_atom": 0.00, "n_ef_per_ev_fu": 2.48, "polymorph_energy_mev_per_atom": 158, "cell": [[-4.363, -3.371, 2.737], [2.993, -2.876, 4.546], [-0.082, 6.015, -1.305]], "species": ["As", "In", "Ba", "Ba"], "frac_coords": [[0.250, 0.750, 0.500], [0.750, 0.250, 0.500], [0.000, 0.000, 0.000], [0.500, 0.500, 0.000]]}

Record 18
{"formula": "Ba2InAs2", "functional": "GGA-PBE", "state": "optimized geometry", "e_form_ev_per_atom": -0.862, "total_magnetization_mub_per_atom": 0.00, "n_ef_per_ev_fu": 1.59, "polymorph_energy_mev_per_atom": 0, "cell": [[4.426, 0.000, -1.177], [0.000, 8.962, 0.000], [0.003, 0.000, 8.923]], "species": ["Ba", "Ba", "Ba", "Ba", "In", "In", "As", "As", "As", "As"], "frac_coords": [[0.804, 0.371, 0.607], [0.196, 0.871, 0.393], [0.957, 0.738, 0.913], [0.043, 0.238, 0.087], [0.594, 0.582, 0.188], [0.406, 0.082, 0.812], [0.179, 0.500, 0.358], [0.450, 0.443, 0.899], [0.550, 0.943, 0.101], [0.821, 0.000, 0.642]]}

Record 19
{"formula": "Ba2InAs2", "functional": "GGA-PBE", "state": "optimized geometry", "e_form_ev_per_atom": -0.828, "total_magnetization_mub_per_atom": 0.00, "n_ef_per_ev_fu": 1.57, "polymorph_energy_mev_per_atom": 33, "cell": [[8.260, 0.000, 0.000], [0.000, 8.260, 0.000], [0.000, 0.000, 4.770]], "species": ["As", "As", "As", "As", "Ba", "Ba", "Ba", "Ba", "In", "In"], "frac_coords": [[0.108, 0.392, 0.000], [0.392, 0.892, 0.000], [0.608, 0.108, 0.000], [0.892, 0.608, 0.000], [0.819, 0.319, 0.500], [0.181, 0.681, 0.500], [0.681, 0.819, 0.500], [0.319, 0.181, 0.500], [0.000, 0.000, 0.000], [0.500, 0.500, 0.000]]}

Record 20
{"formula": "Ba2In2As3", "functional": "GGA-PBE", "state": "optimized geometry", "e_form_ev_per_atom": -0.711, "total_magnetization_mub_per_atom": 0.00, "n_ef_per_ev_fu": 1.56, "cell": [[4.496, 0.000, 0.997], [2.136, 8.486, 1.002], [-0.196, -0.497, 11.522]], "species": ["As", "As", "As", "As", "As", "As", "In", "In", "In", "In", "Ba", "Ba", "Ba", "Ba"], "frac_coords": [[0.076, 0.988, 0.860], [0.151, 0.506, 0.192], [0.395, 0.754, 0.456], [0.605, 0.246, 0.544], [0.849, 0.494, 0.808], [0.924, 0.012, 0.140], [0.048, 0.213, 0.691], [0.597, 0.472, 0.334], [0.952, 0.787, 0.309], [0.403, 0.528, 0.666], [0.735, 0.868, 0.661], [0.265, 0.132, 0.339], [0.605, 0.758, 0.032], [0.395, 0.242, 0.968]]}

Record 21
{"formula": "Ba3InAs3", "functional": "GGA-PBE", "state": "optimized geometry", "e_form_ev_per_atom": -0.829, "total_magnetization_mub_per_atom": 0.00, "polymorph_energy_mev_per_atom": 153, "cell": [[-2.382, 4.245, -1.893], [-6.306, -5.300, 0.854], [3.281, 2.845, 7.052]], "species": ["Ba", "Ba", "Ba", "In", "As", "As", "As"], "frac_coords": [[0.041, 0.562, 0.000], [0.479, 0.438, 0.438], [0.041, 0.000, 0.562], [0.382, 0.000, 0.000], [0.451, 0.323, 0.000], [0.128, 0.677, 0.677], [0.451, 0.000, 0.323]]}

Record 22
{"formula": "Ba2InAs2", "functional": "GGA-PBE", "state": "optimized geometry", "e_form_ev_per_atom": -0.758, "total_magnetization_mub_per_atom": 0.16, "n_ef_per_ev_fu": 1.76, "polymorph_energy_mev_per_atom": 103, "cell": [[-0.339, 1.741, -6.452], [5.908, -2.970, -4.581], [-2.337, -6.758, -5.170]], "species": ["In", "In", "As", "As", "As", "As", "Ba", "Ba", "Ba", "Ba"], "frac_coords": [[0.367, 0.117, 0.149], [0.633, 0.883, 0.851], [0.170, 0.248, 0.412], [0.460, 0.273, 0.807], [0.830, 0.752, 0.588], [0.540, 0.727, 0.193], [0.322, 0.765, 0.590], [0.043, 0.707, 0.207], [0.678, 0.235, 0.410], [0.957, 0.293, 0.793]]}

Record 23
{"formula": "BaInAs3", "functional": "GGA-PBE", "state": "optimized geometry", "e_form_ev_per_atom": -0.011, "total_magnetization_mub_per_atom": 0.00, "n_ef_per_ev_fu": 5.35, "polymorph_energy_mev_per_atom": 0, "cell": [[5.325, 0.000, 0.000], [0.000, 5.325, 0.000], [0.000, 0.000, 5.325]], "species": ["As", "As", "As", "In", "Ba"], "frac_coords": [[0.500, 0.000, 0.000], [0.000, 0.500, 0.000], [0.000, 0.000, 0.500], [0.000, 0.000, 0.000], [0.500, 0.500, 0.500]]}